Material: Tb4Ho2Th
Method: DFT, PBE
State: relaxed

Spin magnetization = 0.000 μB/cell
Energy above the lowest structure with this stoichiometry = 0.0031 eV/atom
E_form = 24 meV per atom

Unit cell a=3.589 b=3.588 c=20.180 alpha=95.11 beta=90.00 gamma=120.01
Positions (direct):
1 Tb 0.524 0.049 0.811
2 Tb 0.000 0.001 0.237
3 Tb 0.907 0.814 0.955
4 Tb 0.427 0.854 0.522
5 Th 0.809 0.619 0.667
6 Ho 0.620 0.240 0.096
7 Ho 0.714 0.427 0.380

Material: NaUTe3
Method: DFT, PBE
State: relaxed

Spin magnetization = 2.665 μB/cell
Energy above the lowest structure with this stoichiometry = 0.0000 eV/atom

Unit cell a=4.170 b=8.739 c=9.450 alpha=111.07 beta=90.00 gamma=90.00
Positions (direct):
1 Te 0.750 0.181 0.991
2 Te 0.750 0.717 0.653
3 Te 0.750 0.170 0.625
4 Te 0.250 0.819 0.009
5 Te 0.250 0.283 0.347
6 Te 0.250 0.830 0.375
7 U 0.750 0.016 0.249
8 U 0.250 0.984 0.751
9 Na 0.750 0.530 0.275
10 Na 0.250 0.470 0.725

Material: ErNpIrRu
Method: DFT, PBE
State: relaxed

Spin magnetization = 3.088 μB/cell
E_form = -386 meV per atom

Unit cell a=4.791 b=4.791 c=4.791 alpha=60.00 beta=60.00 gamma=60.00
Positions (direct):
1 Ru 0.750 0.750 0.750
2 Er 0.500 0.500 0.500
3 Ir 0.250 0.250 0.250
4 Np 0.000 0.000 0.000

Material: Li7CaCd3
Method: DFT, PBE
State: relaxed

Spin magnetization = 0.000 μB/cell
E_form = -32 meV per atom

Unit cell a=5.195 b=7.244 c=7.244 alpha=87.12 beta=109.88 gamma=109.88
Positions (direct):
1 Cd 0.000 0.764 0.236
2 Cd 0.500 0.000 0.000
3 Cd 0.000 0.236 0.764
4 Li 0.295 0.603 0.988
5 Li 0.295 0.988 0.603
6 Li 0.705 0.397 0.012
7 Li 0.151 0.158 0.158
8 Li 0.705 0.012 0.397
9 Li 0.849 0.842 0.842
10 Li 0.000 0.500 0.500
11 Ca 0.500 0.500 0.500